No. 1
Here is crystalline Np2Sn8Rh at its relaxed geometry from Alexandria via LeMat-Bulk. Energies are from PBE.

a b c (Å): 4.6624 4.6624 12.3166
angles (deg): 90.00 90.00 90.00
Space group P4/mmm (No. 123)
Asymmetric unit:
Np1 0.0000 0.0000 0.1884 [2 per cell]
Sn1 0.0000 0.5000 0.0000 [2 per cell]
Sn2 0.0000 0.5000 0.3750 [4 per cell]
Sn3 0.5000 0.5000 0.1888 [2 per cell]
Rh1 0.0000 0.0000 0.5000 [1 per cell]

Summary:
As for the formation energy: -178 meV/atom.

---

No. 2
Here is crystalline Ta2ZnAu at its relaxed geometry from Alexandria via LeMat-Bulk. Energies are from PBE.

a b c (Å): 2.9169 4.0822 5.7093
angles (deg): 90.00 90.10 90.00
Space group P2/m (No. 10)
Asymmetric unit:
Ta1 0.0007 0.0000 0.2434 [2 per cell]
Zn1 0.5000 0.5000 0.0000 [1 per cell]
Au1 0.5000 0.5000 0.5000 [1 per cell]

Summary:
As for the formation energy: -1 meV/atom.

---

No. 3
Here is crystalline TlFeCu2 at its relaxed geometry from Alexandria via LeMat-Bulk. Energies are from PBE.

a b c (Å): 3.7697 3.7697 18.6423
angles (deg): 90.00 90.00 90.00
Space group I-42d (No. 122)
Asymmetric unit:
Tl1 0.0000 0.0000 0.0000 [4 per cell]
Fe1 0.0000 0.0000 0.5000 [4 per cell]
Cu1 0.2211 0.2500 0.6250 [8 per cell]

Summary:
As for the distance to the lowest polymorph of the same formula: 0.242 eV per atom. As for the formation energy: 611 meV/atom.

---

No. 4
Here is crystalline NaPIr at its relaxed geometry from Alexandria via LeMat-Bulk. Energies are from PBE.

a b c (Å): 3.8862 3.8862 4.7062
angles (deg): 90.00 90.00 120.00
Space group P-6m2 (No. 187)
Asymmetric unit:
Na1 0.0000 0.0000 0.0000 [1 per cell]
P1 0.6667 0.3333 0.5000 [1 per cell]
Ir1 0.3333 0.6667 0.5000 [1 per cell]

Summary:
As for the formation energy: -329 meV/atom.

---

No. 5
Here is crystalline RbAg2GeSe4 at its relaxed geometry from Alexandria via LeMat-Bulk. Energies are from PBE.

a b c (Å): 7.1246 7.1301 8.7553
angles (deg): 90.00 90.00 90.00
Space group I222 (No. 23)
Asymmetric unit:
Rb1 0.0000 0.0000 0.0000 [2 per cell]
Ag1 0.0000 0.5000 0.2490 [4 per cell]
Ge1 0.0000 0.0000 0.5000 [2 per cell]
Se1 0.1945 0.1946 0.3431 [8 per cell]

Summary:
The formation energy (no corrections) is -0.40 eV per atom.

---

No. 6
Here is crystalline Li2Os at its relaxed geometry from Alexandria via LeMat-Bulk. Energies are from PBE.

a b c (Å): 2.6620 2.6620 7.1147
angles (deg): 90.00 90.00 120.00
Space group P-3m1 (No. 164)
Asymmetric unit:
Li1 0.3333 0.6667 0.1854 [2 per cell]
Os1 0.0000 0.0000 0.5000 [1 per cell]

Summary:
As for the formation energy: 132 meV/atom.

---

No. 7
Here is crystalline LaYAu4 at its relaxed geometry from Alexandria via LeMat-Bulk. Energies are from PBE.

a b c (Å): 3.8208 3.8208 9.3615
angles (deg): 90.00 90.00 90.00
Space group P4/mmm (No. 123)
Asymmetric unit:
La1 0.0000 0.0000 0.0000 [1 per cell]
Y1 0.5000 0.5000 0.5000 [1 per cell]
Au1 0.0000 0.0000 0.3412 [2 per cell]
Au2 0.5000 0.5000 0.1763 [2 per cell]

Summary:
As for the distance to the lowest polymorph of the same formula: 0.004 eV per atom. As for the formation energy: -801 meV/atom.

---

No. 8
Here is crystalline Na5TlHg3 at its relaxed geometry from Alexandria via LeMat-Bulk. Energies are from PBE.

a b c (Å): 9.3181 9.3181 6.6098
angles (deg): 90.00 90.00 120.00
Space group P6_3/mcm (No. 193)
Asymmetric unit:
Na1 0.0000 0.3079 0.2500 [6 per cell]
Na2 0.3333 0.6667 0.0000 [4 per cell]
Tl1 0.0000 0.0000 0.0000 [2 per cell]
Hg1 0.0000 0.3606 0.7500 [6 per cell]

Summary:
As for the formation energy: -179 meV/atom.

---

No. 9
Here is crystalline LaSnH2 at its relaxed geometry from Alexandria via LeMat-Bulk. Energies are from PBE.

a b c (Å): 4.9173 3.9223 7.4137
angles (deg): 90.00 90.00 90.00
Space group Amm2 (No. 38)
Asymmetric unit:
La1 0.0000 0.0000 0.0000 [2 per cell]
Sn1 0.5000 0.0000 0.6746 [2 per cell]
H1 0.0000 0.0000 0.3219 [2 per cell]
H2 0.5000 0.0000 0.9341 [2 per cell]

Summary:
The raw total energy comes out at -34.4 eV per cell.

---

No. 10
Here is crystalline MnIrOs2 at its relaxed geometry from Alexandria via LeMat-Bulk. Energies are from PBE.

a b c (Å): 8.8980 2.7035 4.6629
angles (deg): 90.00 100.31 90.00
Space group C2/m (No. 12)
Asymmetric unit:
Mn1 0.0000 0.0000 0.0000 [2 per cell]
Ir1 0.0000 0.5000 0.5000 [2 per cell]
Os1 0.2481 0.5000 0.2419 [4 per cell]

Summary:
As for the distance to the lowest polymorph of the same formula: 0.038 eV per atom. As for the formation energy: 34 meV/atom.

---

No. 11
Here is crystalline Ag2ICl5 at its relaxed geometry from Alexandria via LeMat-Bulk. Energies are from PBE.

a b c (Å): 13.9594 7.5632 7.2956
angles (deg): 90.00 119.66 90.00
Space group Cm (No. 8)
Asymmetric unit:
Ag1 0.0000 0.0000 0.0000 [2 per cell]
Ag2 0.2505 0.0000 0.2594 [2 per cell]
I1 0.3860 0.0000 0.9158 [2 per cell]
Cl1 0.1197 0.0000 0.3845 [2 per cell]
Cl2 0.3331 0.2298 0.1033 [4 per cell]
Cl3 0.4342 0.2422 0.7318 [4 per cell]

Summary:
The formation energy (no corrections) is -0.28 eV per atom.

---

No. 12
Here is crystalline Al2CrHg at its relaxed geometry from Alexandria via LeMat-Bulk. Energies are from PBE.

a b c (Å): 3.9471 3.9471 8.4800
angles (deg): 90.00 90.00 90.00
Space group I-4m2 (No. 119)
Asymmetric unit:
Al1 0.0000 0.0000 0.0000 [2 per cell]
Al2 0.0000 0.5000 0.2500 [2 per cell]
Cr1 0.0000 0.5000 0.7500 [2 per cell]
Hg1 0.0000 0.0000 0.5000 [2 per cell]

Summary:
As for the formation energy: 133 meV/atom.